(1)
Below is a relaxed structure of Tb8Ho3Sc4, with properties calculated at the PBE level.

POSCAR file:
```
Tb8Ho3Sc4
1.0
6.521 -5.918 0.000
6.521 5.918 0.000
-2.874 0.000 5.939
Tb Ho Sc
8 3 4
Direct
0.203 0.203 0.163
0.206 0.794 0.000
0.261 0.739 0.500
0.267 0.267 0.694
0.733 0.733 0.306
0.739 0.261 0.500
0.794 0.206 0.000
0.797 0.797 0.837
0.000 0.000 0.500
0.000 0.500 0.000
0.500 0.000 0.000
0.000 0.500 0.500
0.500 0.000 0.500
0.500 0.500 0.000
0.500 0.500 0.500
```

=====

(2)
Below is a relaxed structure of Tb2HoSc, with properties calculated at the PBE level.

POSCAR file:
```
Tb2HoSc
1.0
3.490 0.000 0.000
-1.745 3.023 0.000
0.000 0.000 33.767
Tb Ho Sc
6 3 3
Direct
0.000 0.000 0.247
0.000 0.000 0.753
0.333 0.667 0.420
0.333 0.667 0.914
0.667 0.333 0.086
0.667 0.333 0.580
0.000 0.000 0.000
0.333 0.667 0.667
0.667 0.333 0.333
0.000 0.000 0.500
0.333 0.667 0.167
0.667 0.333 0.833
```

=====

(3)
Below is a relaxed structure of TbHo3Sc7, with properties calculated at the PBE level.

POSCAR file:
```
TbHo3Sc7
1.0
6.004 -5.224 0.000
6.004 5.224 0.000
-2.450 0.000 4.850
Tb Ho Sc
1 3 7
Direct
0.000 0.000 0.000
0.289 0.711 0.500
0.500 0.500 0.000
0.711 0.289 0.500
0.000 0.000 0.500
0.093 0.476 0.785
0.293 0.293 0.293
0.476 0.093 0.785
0.524 0.907 0.215
0.707 0.707 0.707
0.907 0.524 0.215
```

=====

no.,DOS at the Fermi energy (states/eV per cell),calculated formation energy (eV per atom),energy (eV/cell)
1,24.33,0.380,-70.40
2,17.15,0.043,-59.99
3,17.36,0.296,-59.43